1.
Below is crystalline NaLi8Ga4 at its relaxed geometry, with properties calculated at the PBE level.

Values from the calculation:
**ΔH_f (0 K)**: -0.20 eV/atom
**Space group**: I4/mmm (139)

abc: 5.339 7.175 7.175
angles: 82.04 68.16 68.16
Atoms (fractional coordinates):
Li 0.339 0.661 0.661
Li 0.277 0.223 0.223
Li 0.661 0.339 0.339
Li 0.500 0.777 0.223
Li 0.000 0.339 0.661
Li 0.000 0.661 0.339
Li 0.500 0.223 0.777
Li 0.723 0.777 0.777
Na 0.000 0.000 0.000
Ga 0.500 0.500 0.000
Ga 0.500 0.000 0.500
Ga 0.000 0.500 0.000
Ga 0.000 0.000 0.500

2.
Below is crystalline HfZr2ReMo at its relaxed geometry, with properties calculated at the PBE level.

Values from the calculation:
**ΔH_f (0 K)**: 1.81 eV/atom
**Space group**: P4/mmm (123)

abc: 5.074 4.658 5.074
angles: 90.00 90.00 90.00
Atoms (fractional coordinates):
Re 0.000 0.500 0.000
Zr 0.000 0.000 0.500
Zr 0.500 0.000 0.000
Mo 0.500 0.500 0.500
Hf 0.000 0.000 0.000

3.
Below is crystalline Dy3Cd2Hg6 at its relaxed geometry, with properties calculated at the PBE level.

Values from the calculation:
**ΔH_f (0 K)**: -0.16 eV/atom
**Space group**: I4/mmm (139)

abc: 4.215 4.215 16.625
angles: 97.28 97.28 90.00
Atoms (fractional coordinates):
Hg 0.429 0.929 0.858
Hg 0.929 0.429 0.858
Hg 0.571 0.071 0.142
Hg 0.071 0.571 0.142
Hg 0.273 0.273 0.546
Hg 0.727 0.727 0.454
Dy 0.178 0.178 0.357
Dy 0.822 0.822 0.643
Dy 0.000 0.000 0.000
Cd 0.638 0.638 0.276
Cd 0.362 0.362 0.724

4.
Below is crystalline Th2HI3 at its relaxed geometry, with properties calculated at the PBE level.

Values from the calculation:
**Total DFT energy (no corrections)**: -55.12 eV/cell
**Space group**: C2/m (12)

abc: 3.866 10.055 11.123
angles: 72.95 79.99 78.92
Atoms (fractional coordinates):
Th 0.445 0.678 0.433
Th 0.873 0.469 0.785
Th 0.555 0.322 0.567
Th 0.127 0.531 0.215
I 0.669 0.683 0.979
I 0.961 0.862 0.215
I 0.210 0.196 0.384
I 0.331 0.317 0.021
I 0.790 0.804 0.616
I 0.039 0.138 0.785
H 0.421 0.515 0.644
H 0.579 0.485 0.356

5.
Below is crystalline MnMoRhAu2 at its relaxed geometry, with properties calculated at the PBE level.

Values from the calculation:
**ΔH_f (0 K)**: 1.34 eV/atom
**Space group**: P4/mmm (123)

abc: 4.795 4.295 4.795
angles: 90.00 90.00 90.00
Atoms (fractional coordinates):
Rh 0.000 0.500 0.000
Mn 0.000 0.000 0.000
Mo 0.500 0.500 0.500
Au 0.500 0.000 0.000
Au 0.000 0.000 0.500

6.
Below is crystalline Nb7Mo2Ru3 at its relaxed geometry, with properties calculated at the PBE level.

Values from the calculation:
**ΔH_f (0 K)**: 0.20 eV/atom
**Space group**: Cmmm (65)

abc: 4.405 4.522 11.340
angles: 101.50 90.00 90.00
Atoms (fractional coordinates):
Ru 0.500 0.500 0.000
Ru 0.500 0.353 0.706
Ru 0.500 0.647 0.294
Nb 0.000 0.427 0.854
Nb 0.000 0.573 0.146
Nb 0.500 0.922 0.844
Nb 0.500 0.078 0.156
Nb 0.000 0.712 0.424
Nb 0.000 0.000 0.000
Nb 0.000 0.288 0.576
Mo 0.000 0.853 0.705
Mo 0.000 0.147 0.295

7.
Below is crystalline CeSnTe2O at its relaxed geometry, with properties calculated at the PBE level.

Values from the calculation:
**Raw formation energy**: -7.67 eV/f.u.
**Space group**: P4/nmm (129)

abc: 4.153 4.153 16.103
angles: 90.00 90.00 90.00
Atoms (fractional coordinates):
Ce 0.500 0.000 0.573
Ce 0.000 0.500 0.427
Te 0.500 0.000 0.900
Te 0.000 0.500 0.100
Te 0.000 0.500 0.677
Te 0.500 0.000 0.323
O 0.500 0.500 0.500
O 0.000 0.000 0.500
Sn 0.000 0.500 0.859
Sn 0.500 0.000 0.141

8.
Below is crystalline CdInO2F at its relaxed geometry, with properties calculated at the PBE level.

Values from the calculation:
**Raw formation energy**: -3.45 eV/f.u.
**Space group**: P4/mmm (123)

abc: 4.262 4.262 4.269
angles: 90.00 90.00 90.00
Atoms (fractional coordinates):
F 0.000 0.000 0.500
O 0.500 0.000 0.000
O 0.000 0.500 0.000
In 0.500 0.500 0.500
Cd 0.000 0.000 0.000

9.
Below is crystalline Rb3PtI at its relaxed geometry, with properties calculated at the PBE level.

Values from the calculation:
**Raw formation energy**: -2.57 eV/f.u.
**Energy relative to the lowest polymorph listed for this composition**: 0 meV per atom
**Space group**: Pm-3m (221)

abc: 6.362 6.362 6.362
angles: 90.00 90.00 90.00
Atoms (fractional coordinates):
Rb 0.000 0.500 0.000
Rb 0.000 0.000 0.500
Rb 0.500 0.000 0.000
I 0.500 0.500 0.500
Pt 0.000 0.000 0.000

10.
Below is crystalline KPmMnBr6 at its relaxed geometry, with properties calculated at the PBE level.

Values from the calculation:
**Raw formation energy**: -13.44 eV/f.u.
**Space group**: P-31c (163)

abc: 7.253 7.253 14.601
angles: 90.00 90.00 120.00
Atoms (fractional coordinates):
Br 0.982 0.360 0.140
Br 0.360 0.379 0.860
Br 0.982 0.621 0.360
Br 0.360 0.982 0.640
Br 0.621 0.640 0.640
Br 0.018 0.379 0.640
Br 0.379 0.018 0.140
Br 0.379 0.360 0.360
Br 0.640 0.621 0.140
Br 0.640 0.018 0.360
Br 0.018 0.640 0.860
Br 0.621 0.982 0.860
Mn 0.667 0.333 0.250
Mn 0.333 0.667 0.750
K 0.000 0.000 0.000
K 0.000 0.000 0.500
Pm 0.333 0.667 0.250
Pm 0.667 0.333 0.750

11.
Below is crystalline La6YZn at its relaxed geometry, with properties calculated at the PBE level.

Values from the calculation:
**ΔH_f (0 K)**: -0.01 eV/atom
**Space group**: C2/m (12)

abc: 8.004 8.806 6.236
angles: 61.54 75.20 43.24
Atoms (fractional coordinates):
La 0.884 0.884 0.615
La 0.235 0.237 0.765
La 0.765 0.763 0.235
La 0.385 0.383 0.116
La 0.615 0.617 0.884
La 0.116 0.116 0.385
Y 0.500 0.500 0.500
Zn 0.000 0.000 0.000

12.
Below is crystalline Mg2CoSe at its relaxed geometry, with properties calculated at the PBE level.

Values from the calculation:
**Raw formation energy**: 0.49 eV/f.u.
**Energy relative to the lowest polymorph listed for this composition**: 419 meV per atom
**Space group**: I-42d (122)

abc: 7.266 7.266 5.890
angles: 51.92 51.92 90.00
Atoms (fractional coordinates):
Mg 0.122 0.625 0.250
Mg 0.375 0.372 0.750
Mg 0.628 0.125 0.250
Mg 0.875 0.878 0.750
Se 0.750 0.250 0.500
Se 0.000 0.000 0.000
Co 0.500 0.500 0.000
Co 0.250 0.750 0.500

It is found that the Fermi-level density of states values, taken in the order of the records, are 4.58; 4.48; 8.59; 7.67; 7.68; 10.84; 13.27; 2.23; 0.00; 0.00; 12.28; 8.57 states/eV per cell.